[1]
A relaxed structure of Pm6Dy3Y2Sc, computed with PBE.

## Properties
formation energy from the elements: 0.023 eV/atom
D(E_F): 1.19 states/eV per atom
uncorrected energy: -5.11 eV/atom

Lattice parameters (Å, degrees): 6.215 6.215 11.757 95.04 95.04 119.99
Positions (direct):
1 Pm 0.082 0.412 0.248
2 Pm 0.248 0.248 0.752
3 Pm 0.412 0.082 0.248
4 Pm 0.588 0.918 0.752
5 Pm 0.752 0.752 0.248
6 Pm 0.918 0.588 0.752
7 Dy 0.167 0.833 0.500
8 Dy 0.500 0.500 0.500
9 Dy 0.833 0.167 0.500
10 Y 0.333 0.667 0.000
11 Y 0.667 0.333 0.000
12 Sc 0.000 0.000 0.000

---

[2]
A relaxed structure of Nb2NO2, computed with PBE.

## Properties
E_form (uncorrected): -0.77 eV/atom
D(E_F): 0.49 states/eV per atom
uncorrected energy: -8.44 eV/atom

Lattice parameters (Å, degrees): 6.160 6.160 2.693 90.00 90.00 90.00
Positions (direct):
1 Nb 0.183 0.317 0.000
2 Nb 0.317 0.817 0.000
3 Nb 0.683 0.183 0.000
4 Nb 0.817 0.683 0.000
5 N 0.000 0.000 0.500
6 N 0.500 0.500 0.500
7 O 0.124 0.624 0.500
8 O 0.376 0.124 0.500
9 O 0.624 0.876 0.500
10 O 0.876 0.376 0.500

---

[3]
A relaxed structure of MnHgBr2, computed with PBE.

## Properties
ΔE to the lowest computed polymorph: 108 kJ/mol of formula units
E_form (uncorrected): -0.29 eV/atom
D(E_F): 0.17 states/eV per atom
uncorrected energy: -3.49 eV/atom

Lattice parameters (Å, degrees): 3.409 3.409 10.053 90.00 90.00 90.00
Positions (direct):
1 Mn 0.000 0.000 0.000
2 Hg 0.000 0.000 0.500
3 Br 0.500 0.500 0.163
4 Br 0.500 0.500 0.837

---

[4]
A relaxed structure of RbAl3S, computed with PBE.

## Properties
ΔE to the lowest computed polymorph: 605 kJ/mol of formula units
E_form (uncorrected): 1.73 eV/atom
D(E_F): 0.79 states/eV per atom
uncorrected energy: -1.54 eV/atom

Lattice parameters (Å, degrees): 6.056 6.056 6.056 90.00 90.00 90.00
Positions (direct):
1 Rb 0.000 0.000 0.000
2 Al 0.000 0.000 0.500
3 Al 0.000 0.500 0.000
4 Al 0.500 0.000 0.000
5 S 0.500 0.500 0.500

---

[5]
A relaxed structure of Y2ZrP, computed with PBE.

## Properties
formation energy from the elements: -0.542 eV/atom
D(E_F): 1.18 states/eV per atom
uncorrected energy: -7.26 eV/atom

Lattice parameters (Å, degrees): 3.545 3.545 7.779 90.00 90.00 90.00
Positions (direct):
1 Y 0.000 0.000 0.000
2 Y 0.500 0.500 0.345
3 Zr 0.000 0.000 0.617
4 P 0.500 0.500 0.755

---

[6]
A relaxed structure of YZnSi2, computed with PBE.

## Properties
E_form (uncorrected): 0.07 eV/atom
D(E_F): 0.56 states/eV per atom
uncorrected energy: -4.58 eV/atom

Lattice parameters (Å, degrees): 4.768 4.768 4.768 60.00 60.00 60.00
Positions (direct):
1 Y 0.000 0.000 0.000
2 Zn 0.750 0.750 0.750
3 Si 0.250 0.250 0.250
4 Si 0.500 0.500 0.500

---

[7]
A relaxed structure of CePmZnBi, computed with PBE.

## Properties
formation energy from the elements: -0.399 eV/atom
D(E_F): 2.32 states/eV per atom
uncorrected energy: -4.36 eV/atom

Lattice parameters (Å, degrees): 5.400 5.400 5.400 60.00 60.00 60.00
Positions (direct):
1 Ce 0.000 0.000 0.000
2 Pm 0.500 0.500 0.500
3 Zn 0.250 0.250 0.250
4 Bi 0.750 0.750 0.750

---

[8]
A relaxed structure of CdFe2Se, computed with PBE.

## Properties
E_form (uncorrected): 0.18 eV/atom
D(E_F): 0.99 states/eV per atom
uncorrected energy: -5.15 eV/atom

Lattice parameters (Å, degrees): 8.742 8.742 8.742 20.01 20.01 20.01
Positions (direct):
1 Cd 0.000 0.000 0.000
2 Fe 0.486 0.486 0.486
3 Fe 0.754 0.754 0.754
4 Se 0.216 0.216 0.216